TaV | PBE-GGA | relaxed

* total DFT energy (no corrections): -8.114 eV/atom
* energy relative to the elements: 4.74 eV per formula unit
* total magnetization: 0.001 μB/atom
* excess energy over the best structure of this formula in the dataset: 2345 meV per atom
* D(E_F): 22.28 states/eV per cell
* space-group type: I-43m (217)

Lattice parameters (Å, degrees): 8.0226 8.0226 8.0226 90.00 90.00 90.00
Closest atoms and distances in Å follow each position.
Positions (direct):
V 0.6747 0.6747 0.6747  4 Ta 2.48-2.76
V 0.3253 0.3253 0.6747  4 Ta 2.48-2.76
V 0.6747 0.3253 0.3253  4 Ta 2.48-2.76
V 0.3253 0.6747 0.3253  4 Ta 2.48-2.76
V 0.1747 0.1747 0.1747  4 Ta 2.48-2.76
V 0.1747 0.8253 0.8253  4 Ta 2.48-2.76
V 0.8253 0.1747 0.8253  4 Ta 2.48-2.76
V 0.8253 0.8253 0.1747  4 Ta 2.48-2.76
Ta 0.8733 0.8733 0.8733  4 V 2.48-2.76
Ta 0.3733 0.3733 0.3733  4 V 2.48-2.76
Ta 0.8733 0.1267 0.1267  4 V 2.48-2.76
Ta 0.3733 0.6267 0.6267  4 V 2.48-2.76
Ta 0.1267 0.1267 0.8733  4 V 2.48-2.76
Ta 0.6267 0.6267 0.3733  4 V 2.48-2.76
Ta 0.1267 0.8733 0.1267  4 V 2.48-2.76
Ta 0.6267 0.3733 0.6267  4 V 2.48-2.76